An optimized crystal structure of Ti3NiAu. Source: Alexandria via LeMat-Bulk, functional PBE-GGA.

Cell: 4.838 4.838 4.838 Å, 90.00 90.00 90.00°
Fractional positions:
Ti  0.000  0.000  0.500
Ti  0.000  0.500  0.000
Ti  0.500  0.000  0.000
Ni  0.500  0.500  0.500
Au  0.000  0.000  0.000


An optimized crystal structure of Ti2NiAu2. Source: Alexandria via LeMat-Bulk, functional PBE-GGA.

Cell: 7.057 7.057 3.423 Å, 90.00 90.00 90.00°
Fractional positions:
Ti  0.168  0.332  0.000
Ti  0.332  0.832  0.000
Ti  0.668  0.168  0.000
Ti  0.832  0.668  0.000
Ni  0.000  0.000  0.500
Ni  0.500  0.500  0.500
Au  0.138  0.638  0.500
Au  0.362  0.138  0.500
Au  0.638  0.862  0.500
Au  0.862  0.362  0.500


An optimized crystal structure of TiNiAu4. Source: Alexandria via LeMat-Bulk, functional PBE-GGA.

Cell: 4.903 8.667 4.902 Å, 90.00 108.83 90.00°
Fractional positions:
Ti  0.000  0.000  0.000
Ti  0.500  0.500  0.000
Ni  0.000  0.500  0.500
Ni  0.500  0.000  0.500
Au  0.000  0.161  0.500
Au  0.000  0.338  0.000
Au  0.000  0.662  0.000
Au  0.000  0.839  0.500
Au  0.500  0.162  0.000
Au  0.500  0.339  0.500
Au  0.500  0.661  0.500
Au  0.500  0.838  0.000


An optimized crystal structure of TiNi2Au. Source: Alexandria via LeMat-Bulk, functional PBE-GGA.

Cell: 6.702 6.702 5.327 Å, 90.00 90.00 90.00°
Fractional positions:
Ti  0.000  0.000  0.000
Ti  0.000  0.500  0.250
Ti  0.500  0.000  0.750
Ti  0.500  0.500  0.500
Ni  0.228  0.250  0.125
Ni  0.250  0.728  0.375
Ni  0.250  0.772  0.875
Ni  0.272  0.250  0.625
Ni  0.728  0.750  0.625
Ni  0.750  0.228  0.875
Ni  0.750  0.272  0.375
Ni  0.772  0.750  0.125
Au  0.000  0.000  0.500
Au  0.000  0.500  0.750
Au  0.500  0.000  0.250
Au  0.500  0.500  0.000


An optimized crystal structure of TiNiAu2. Source: Alexandria via LeMat-Bulk, functional PBE-GGA.

Cell: 7.185 7.185 5.336 Å, 90.00 90.00 90.00°
Fractional positions:
Ti  0.000  0.000  0.000
Ti  0.000  0.500  0.250
Ti  0.500  0.000  0.750
Ti  0.500  0.500  0.500
Ni  0.000  0.000  0.500
Ni  0.000  0.500  0.750
Ni  0.500  0.000  0.250
Ni  0.500  0.500  0.000
Au  0.234  0.250  0.625
Au  0.250  0.734  0.875
Au  0.250  0.766  0.375
Au  0.266  0.250  0.125
Au  0.734  0.750  0.125
Au  0.750  0.234  0.375
Au  0.750  0.266  0.875
Au  0.766  0.750  0.625


An optimized crystal structure of Ti6Ni12Au. Source: Alexandria via LeMat-Bulk, functional PBE-GGA.

Cell: 6.922 6.922 6.922 Å, 108.22 108.22 108.22°
Fractional positions:
Ti  0.240  0.695  0.695
Ti  0.305  0.305  0.760
Ti  0.305  0.760  0.305
Ti  0.695  0.240  0.695
Ti  0.695  0.695  0.240
Ti  0.760  0.305  0.305
Ni  0.108  0.500  0.892
Ni  0.108  0.892  0.500
Ni  0.164  0.379  0.379
Ni  0.379  0.164  0.379
Ni  0.379  0.379  0.164
Ni  0.500  0.108  0.892
Ni  0.500  0.892  0.108
Ni  0.621  0.621  0.836
Ni  0.621  0.836  0.621
Ni  0.836  0.621  0.621
Ni  0.892  0.108  0.500
Ni  0.892  0.500  0.108
Au  0.000  0.000  0.000


An optimized crystal structure of Ti5Ni8Au. Source: Alexandria via LeMat-Bulk, functional PBE-GGA.

Cell: 6.309 6.309 6.309 Å, 110.00 110.00 108.41°
Fractional positions:
Ti  0.000  0.000  0.000
Ti  0.260  0.629  0.064
Ti  0.371  0.435  0.631
Ti  0.565  0.197  0.936
Ti  0.803  0.740  0.369
Ni  0.043  0.451  0.275
Ni  0.124  0.166  0.751
Ni  0.176  0.768  0.725
Ni  0.232  0.957  0.409
Ni  0.414  0.373  0.249
Ni  0.549  0.824  0.591
Ni  0.627  0.876  0.042
Ni  0.834  0.586  0.958
Au  0.750  0.250  0.500


An optimized crystal structure of TiNiAu. Source: Alexandria via LeMat-Bulk, functional PBE-GGA.

Cell: 3.246 3.246 8.473 Å, 90.00 90.00 90.00°
Fractional positions:
Ti  0.000  0.000  0.000
Ti  0.500  0.500  0.500
Ni  0.000  0.000  0.360
Ni  0.500  0.500  0.860
Au  0.000  0.000  0.680
Au  0.500  0.500  0.180


An optimized crystal structure of Ti11Ni4Au9. Source: Alexandria via LeMat-Bulk, functional PBE-GGA.

Cell: 11.790 11.790 3.013 Å, 90.00 90.00 113.12°
Fractional positions:
Ti  0.000  0.000  0.000
Ti  0.063  0.410  0.000
Ti  0.161  0.839  0.000
Ti  0.303  0.303  0.000
Ti  0.370  0.630  0.000
Ti  0.410  0.063  0.000
Ti  0.590  0.937  0.000
Ti  0.630  0.370  0.000
Ti  0.697  0.697  0.000
Ti  0.839  0.161  0.000
Ti  0.937  0.590  0.000
Ni  0.252  0.450  0.500
Ni  0.450  0.252  0.500
Ni  0.550  0.748  0.500
Ni  0.748  0.550  0.500
Au  0.073  0.218  0.500
Au  0.157  0.626  0.500
Au  0.218  0.073  0.500
Au  0.374  0.843  0.500
Au  0.500  0.500  0.500
Au  0.626  0.157  0.500
Au  0.782  0.927  0.500
Au  0.843  0.374  0.500
Au  0.927  0.782  0.500


An optimized crystal structure of TiNi2Au. Source: Alexandria via LeMat-Bulk, functional PBE-GGA.

Cell: 4.389 5.420 4.588 Å, 90.00 90.00 90.00°
Fractional positions:
Ti  0.250  0.250  0.186
Ti  0.750  0.750  0.814
Ni  0.250  0.001  0.668
Ni  0.250  0.499  0.668
Ni  0.750  0.501  0.332
Ni  0.750  0.999  0.332
Au  0.250  0.750  0.178
Au  0.750  0.250  0.822


An optimized crystal structure of TiNiAu. Source: Alexandria via LeMat-Bulk, functional PBE-GGA.

Cell: 4.321 4.321 2.752 Å, 90.00 90.00 120.00°
Fractional positions:
Ti  0.000  0.000  0.000
Ni  0.667  0.333  0.140
Au  0.333  0.667  0.558


An optimized crystal structure of TiNi2Au. Source: Alexandria via LeMat-Bulk, functional PBE-GGA.

Cell: 6.034 6.034 6.034 Å, 90.00 90.00 90.00°
Fractional positions:
Ti  0.000  0.000  0.000
Ti  0.000  0.500  0.500
Ti  0.500  0.000  0.500
Ti  0.500  0.500  0.000
Ni  0.250  0.250  0.250
Ni  0.250  0.250  0.750
Ni  0.250  0.750  0.250
Ni  0.250  0.750  0.750
Ni  0.750  0.250  0.250
Ni  0.750  0.250  0.750
Ni  0.750  0.750  0.250
Ni  0.750  0.750  0.750
Au  0.000  0.000  0.500
Au  0.000  0.500  0.000
Au  0.500  0.000  0.000
Au  0.500  0.500  0.500


| no. | DFT formation energy (kcal/mol of atoms) |
| --- | --- |
| 1 | 24.77 |
| 2 | -2.75 |
| 3 | -3.67 |
| 4 | 1.76 |
| 5 | 3.11 |
| 6 | -1.38 |
| 7 | -4.51 |
| 8 | -10.33 |
| 9 | -9.33 |
| 10 | -8.27 |
| 11 | -6.12 |
| 12 | -6.85 |